AlCrTc3 | PBE-GGA | optimized geometry

a b c (Å): 4.414 4.414 4.414
angles (deg): 90.00 90.00 90.00
Space group Pm-3m (No. 221)
Asymmetric unit:
1 Al 0.000 0.000 0.000 [1 per cell]
2 Cr 0.500 0.500 0.500 [1 per cell]
3 Tc 0.000 0.500 0.500 [3 per cell]

Summary:
The value obtained for the density of states at the Fermi level is 1.16 states/eV/atom. For the energy above the most stable polymorph in this dataset, the calculation gives 0 meV per atom.